First-principles (PBE) data for a relaxed structure of HfThAg, as listed in the Alexandria database.

Geometry as POSCAR:
```
HfThAg
1.0
4.996 0.000 0.000
-2.498 4.327 0.000
0.000 0.000 3.486
Hf Th Ag
1 1 1
direct
0.000 0.000 0.000 Hf
0.667 0.333 0.500 Th
0.333 0.667 0.000 Ag
```

Summary:
- mass density (g/cm³) = 11.42
- DOS at the Fermi energy (states/eV per atom) = 1.06
- calculated formation energy (eV/atom) = 0.211
- DFT total energy (Ha/atom) = -0.2400



First-principles (PBE) data for a relaxed structure of HfThAg, as listed in the Alexandria database.

Geometry as POSCAR:
```
HfThAg
1.0
3.784 0.000 0.000
0.000 3.784 0.000
0.000 0.000 10.504
Hf Th Ag
2 2 2
direct
0.250 0.250 0.066 Hf
0.750 0.750 0.934 Hf
0.250 0.250 0.744 Th
0.750 0.750 0.256 Th
0.250 0.250 0.434 Ag
0.750 0.750 0.566 Ag
```

Summary:
- mass density (g/cm³) = 11.45
- DOS at the Fermi energy (states/eV per atom) = 0.77
- calculated formation energy (eV/atom) = 0.049
- DFT total energy (Ha/atom) = -0.2459



First-principles (PBE) data for a relaxed structure of HfTh2Ag, as listed in the Alexandria database.

Geometry as POSCAR:
```
HfTh2Ag
1.0
1.639 0.946 11.625
-1.639 0.946 11.625
0.000 -1.893 11.625
Hf Th Ag
1 2 1
direct
0.000 0.000 0.000 Hf
0.089 0.089 0.089 Th
0.911 0.911 0.911 Th
0.500 0.500 0.500 Ag
```

Summary:
- mass density (g/cm³) = 11.52
- DOS at the Fermi energy (states/eV per atom) = 1.29
- calculated formation energy (eV/atom) = 0.391
- DFT total energy (Ha/atom) = -0.2396



First-principles (PBE) data for a relaxed structure of HfThAg, as listed in the Alexandria database.

Geometry as POSCAR:
```
HfThAg
1.0
-1.694 1.694 6.418
1.694 -1.694 6.418
1.694 1.694 -6.418
Hf Th Ag
1 1 1
direct
0.000 0.000 0.000 Hf
0.681 0.681 0.000 Th
0.368 0.368 0.000 Ag
```

Summary:
- mass density (g/cm³) = 11.69
- DOS at the Fermi energy (states/eV per atom) = 0.60
- calculated formation energy (eV/atom) = -0.006
- DFT total energy (Ha/atom) = -0.2479



First-principles (PBE) data for a relaxed structure of HfTh2Ag, as listed in the Alexandria database.

Geometry as POSCAR:
```
HfTh2Ag
1.0
3.414 0.000 0.000
0.000 3.414 0.000
0.000 0.000 9.290
Hf Th Ag
1 2 1
direct
0.000 0.000 0.000 Hf
0.500 0.500 0.255 Th
0.500 0.500 0.745 Th
0.000 0.000 0.500 Ag
```

Summary:
- mass density (g/cm³) = 11.50
- DOS at the Fermi energy (states/eV per atom) = 1.08
- calculated formation energy (eV/atom) = 0.048
- DFT total energy (Ha/atom) = -0.2522



First-principles (PBE) data for a relaxed structure of HfTh2Ag, as listed in the Alexandria database.

Geometry as POSCAR:
```
HfTh2Ag
1.0
5.586 0.000 0.000
0.000 5.586 0.000
0.000 0.000 3.445
Hf Th Ag
1 2 1
direct
0.000 0.000 0.000 Hf
0.000 0.500 0.500 Th
0.500 0.000 0.500 Th
0.500 0.500 0.000 Ag
```

Summary:
- mass density (g/cm³) = 11.59
- DOS at the Fermi energy (states/eV per atom) = 1.40
- calculated formation energy (eV/atom) = 0.090
- DFT total energy (Ha/atom) = -0.2507



First-principles (PBE) data for a relaxed structure of HfThAg2, as listed in the Alexandria database.

Geometry as POSCAR:
```
HfThAg2
1.0
3.434 0.000 0.000
0.000 3.434 0.000
0.000 0.000 7.749
Hf Th Ag
1 1 2
direct
0.000 0.000 0.000 Hf
0.000 0.000 0.500 Th
0.500 0.500 0.209 Ag
0.500 0.500 0.791 Ag
```

Summary:
- mass density (g/cm³) = 11.38
- DOS at the Fermi energy (states/eV per atom) = 1.21
- calculated formation energy (eV/atom) = 0.037
- DFT total energy (Ha/atom) = -0.2106



First-principles (PBE) data for a relaxed structure of HfThAg2, as listed in the Alexandria database.

Geometry as POSCAR:
```
HfThAg2
1.0
0.000 3.597 3.597
3.597 0.000 3.597
3.597 3.597 0.000
Hf Th Ag
1 1 2
direct
0.000 0.000 0.000 Hf
0.500 0.500 0.500 Th
0.250 0.250 0.250 Ag
0.750 0.750 0.750 Ag
```

Summary:
- mass density (g/cm³) = 11.17
- DOS at the Fermi energy (states/eV per atom) = 1.22
- calculated formation energy (eV/atom) = 0.110
- DFT total energy (Ha/atom) = -0.2080



First-principles (PBE) data for a relaxed structure of HfThZnAg, as listed in the Alexandria database.

Geometry as POSCAR:
```
HfThZnAg
1.0
0.000 3.559 3.559
3.559 0.000 3.559
3.559 3.559 0.000
Hf Th Zn Ag
1 1 1 1
direct
0.000 0.000 0.000 Hf
0.500 0.500 0.500 Th
0.250 0.250 0.250 Zn
0.750 0.750 0.750 Ag
```

Summary:
- mass density (g/cm³) = 10.75
- DOS at the Fermi energy (states/eV per atom) = 1.44
- calculated formation energy (eV/atom) = 0.033
- DFT total energy (Ha/atom) = -0.1963



First-principles (PBE) data for a relaxed structure of Hf2TiAg, as listed in the Alexandria database.

Geometry as POSCAR:
```
Hf2TiAg
1.0
-2.054 2.054 10.007
2.054 -2.054 10.007
2.054 2.054 -10.007
Hf Ti Ag
4 2 2
direct
0.122 0.625 0.997 Hf
0.375 0.372 0.497 Hf
0.628 0.125 0.003 Hf
0.875 0.878 0.503 Hf
0.000 0.000 0.000 Ti
0.750 0.250 0.500 Ti
0.250 0.750 0.500 Ag
0.500 0.500 0.000 Ag
```

Summary:
- mass density (g/cm³) = 10.08
- DOS at the Fermi energy (states/eV per atom) = 1.19
- calculated formation energy (eV/atom) = 0.548
- DFT total energy (Ha/atom) = -0.2615



First-principles (PBE) data for a relaxed structure of HfTiAg, as listed in the Alexandria database.

Geometry as POSCAR:
```
HfTiAg
1.0
3.484 0.000 0.000
0.000 3.484 0.000
0.000 0.000 9.347
Hf Ti Ag
2 2 2
direct
0.250 0.250 0.248 Hf
0.750 0.750 0.752 Hf
0.250 0.250 0.936 Ti
0.750 0.750 0.064 Ti
0.250 0.250 0.582 Ag
0.750 0.750 0.418 Ag
```

Summary:
- mass density (g/cm³) = 9.78
- DOS at the Fermi energy (states/eV per atom) = 0.87
- calculated formation energy (eV/atom) = -0.052
- DFT total energy (Ha/atom) = -0.2555



First-principles (PBE) data for a relaxed structure of HfTi2Ag, as listed in the Alexandria database.

Geometry as POSCAR:
```
HfTi2Ag
1.0
0.000 3.306 3.306
3.306 0.000 3.306
3.306 3.306 0.000
Hf Ti Ag
1 2 1
direct
0.000 0.000 0.000 Hf
0.250 0.250 0.250 Ti
0.750 0.750 0.750 Ti
0.500 0.500 0.500 Ag
```

Summary:
- mass density (g/cm³) = 8.78
- DOS at the Fermi energy (states/eV per atom) = 1.87
- calculated formation energy (eV/atom) = 0.219
- DFT total energy (Ha/atom) = -0.2546